Record 1
Crystalline UTlSi at its relaxed geometry. Source: the Open Quantum Materials Database, functional GGA-PBE.

Computed properties:
DFT total energy: -5.7186 eV/atom
total magnetization: 2.81 μB per formula unit

```
data_UTlSi
_chemical_formula_sum 'U4 Tl4 Si4'
_cell_length_a 6.9378
_cell_length_b 6.9378
_cell_length_c 6.9378
_cell_angle_alpha 90.00
_cell_angle_beta 90.00
_cell_angle_gamma 90.00
_symmetry_space_group_name_H-M 'F -4 3 m'
_symmetry_Int_Tables_number 216
_symmetry_space_group_name_Hall 'F -4 2 3'
loop_
_atom_site_label
_atom_site_type_symbol
_atom_site_fract_x
_atom_site_fract_y
_atom_site_fract_z
U1 U 0.0000 0.0000 0.0000
Tl1 Tl 0.2500 0.2500 0.2500
Si1 Si 0.2500 0.2500 0.7500
```

Record 2
Crystalline SmHo2Bi3 at its relaxed geometry. Source: the Open Quantum Materials Database, functional GGA-PBE.

Computed properties:
DFT total energy: -5.2160 eV/atom
total magnetization: 0.00 μB per formula unit

```
data_SmHo2Bi3
_chemical_formula_sum 'Sm1 Ho2 Bi3'
_cell_length_a 4.4674
_cell_length_b 4.4674
_cell_length_c 10.9561
_cell_angle_alpha 90.00
_cell_angle_beta 90.00
_cell_angle_gamma 120.00
_symmetry_space_group_name_H-M 'P -3 m 1'
_symmetry_Int_Tables_number 164
_symmetry_space_group_name_Hall '-P 3 2"'
loop_
_atom_site_label
_atom_site_type_symbol
_atom_site_fract_x
_atom_site_fract_y
_atom_site_fract_z
Sm1 Sm 0.0000 0.0000 0.0000
Ho1 Ho 0.3333 0.6667 0.3340
Bi1 Bi 0.0000 0.0000 0.5000
Bi2 Bi 0.3333 0.6667 0.8294
```

Record 3
Crystalline PrDyPt2 at its relaxed geometry. Source: the Open Quantum Materials Database, functional GGA-PBE.

Computed properties:
DFT total energy: -5.7039 eV/atom
DFT formation energy: -0.33 eV/atom
total magnetization: 0.01 μB per formula unit

```
data_PrDyPt2
_chemical_formula_sum 'Pr1 Dy1 Pt2'
_cell_length_a 3.7019
_cell_length_b 3.7019
_cell_length_c 9.1990
_cell_angle_alpha 90.00
_cell_angle_beta 90.00
_cell_angle_gamma 120.00
_symmetry_space_group_name_H-M 'P -6 m 2'
_symmetry_Int_Tables_number 187
_symmetry_space_group_name_Hall 'P -6 2'
loop_
_atom_site_label
_atom_site_type_symbol
_atom_site_fract_x
_atom_site_fract_y
_atom_site_fract_z
Pr1 Pr 0.0000 0.0000 0.0000
Dy1 Dy 0.6667 0.3333 0.5000
Pt1 Pt 0.0000 0.0000 0.3047
```

Record 4
Crystalline Ho3Er3Bi2Os at its relaxed geometry. Source: the Open Quantum Materials Database, functional GGA-PBE.

Computed properties:
DFT total energy: -5.7516 eV/atom
total magnetization: 0.03 μB per formula unit

```
data_Ho3Er3Bi2Os
_chemical_formula_sum 'Ho3 Er3 Bi2 Os1'
_cell_length_a 8.2533
_cell_length_b 8.2533
_cell_length_c 4.2220
_cell_angle_alpha 90.00
_cell_angle_beta 90.00
_cell_angle_gamma 120.00
_symmetry_space_group_name_H-M 'P -6 2 m'
_symmetry_Int_Tables_number 189
_symmetry_space_group_name_Hall 'P -6 -2'
loop_
_atom_site_label
_atom_site_type_symbol
_atom_site_fract_x
_atom_site_fract_y
_atom_site_fract_z
Ho1 Ho 0.0000 0.3863 0.0000
Er1 Er 0.0000 0.7669 0.5000
Bi1 Bi 0.3333 0.6667 0.5000
Os1 Os 0.0000 0.0000 0.0000
```

Record 5
Crystalline DyHfNi2As2 at its relaxed geometry. Source: the Open Quantum Materials Database, functional GGA-PBE.

Computed properties:
DFT total energy: -6.8345 eV/atom
total magnetization: 0.01 μB per formula unit

```
data_DyHfNi2As2
_chemical_formula_sum 'Dy2 Hf2 Ni4 As4'
_cell_length_a 3.9882
_cell_length_b 3.9882
_cell_length_c 14.7718
_cell_angle_alpha 90.00
_cell_angle_beta 90.00
_cell_angle_gamma 120.00
_symmetry_space_group_name_H-M 'P 63/m m c'
_symmetry_Int_Tables_number 194
_symmetry_space_group_name_Hall '-P 6c 2c'
loop_
_atom_site_label
_atom_site_type_symbol
_atom_site_fract_x
_atom_site_fract_y
_atom_site_fract_z
Dy1 Dy 0.0000 0.0000 0.0000
Hf1 Hf 0.0000 0.0000 0.2500
Ni1 Ni 0.3333 0.6667 0.1577
As1 As 0.3333 0.6667 0.6222
```

Record 6
Crystalline NpC at its relaxed geometry. Source: the Open Quantum Materials Database, functional GGA-PBE.

Computed properties:
DFT total energy: -10.5353 eV/atom
total magnetization: 3.00 μB per formula unit

```
data_NpC
_chemical_formula_sum 'Np4 C4'
_cell_length_a 5.2841
_cell_length_b 5.2841
_cell_length_c 5.2841
_cell_angle_alpha 90.00
_cell_angle_beta 90.00
_cell_angle_gamma 90.00
_symmetry_space_group_name_H-M 'F -4 3 m'
_symmetry_Int_Tables_number 216
_symmetry_space_group_name_Hall 'F -4 2 3'
loop_
_atom_site_label
_atom_site_type_symbol
_atom_site_fract_x
_atom_site_fract_y
_atom_site_fract_z
Np1 Np 0.0000 0.0000 0.0000
C1 C 0.2500 0.2500 0.2500
```